(1)
A geometry-optimized Tb2CeDyY5 structure, computed with GGA-PBE.

Properties
Volume: 32.92 Å³ per atom
Uncorrected energy: -5.62 eV per atom
Space-group type: Cmc2_1 (36)
Size of the total moment: 0.067 μB per atom
D(E_F): 32.68 states/eV per cell
E_form: 0.168 eV per atom

a = 11.1930 Å, b = 11.1930 Å, c = 9.5644 Å
α = 90.00°, β = 90.00°, γ = 150.36°
Fractional positions:
Tb1 0.1139 0.8861 0.5000
Tb2 0.1330 0.8670 0.1123
Tb3 0.8670 0.1330 0.6123
Tb4 0.8861 0.1139 0.0000
Ce1 0.1889 0.8111 0.8016
Ce2 0.8111 0.1889 0.3016
Dy1 0.4026 0.5974 0.3935
Dy2 0.5974 0.4026 0.8935
Y1 0.0128 0.9872 0.8093
Y2 0.2667 0.7333 0.4869
Y3 0.3057 0.6943 0.1090
Y4 0.3913 0.6087 0.7760
Y5 0.4717 0.5283 0.0734
Y6 0.5283 0.4717 0.5734
Y7 0.6087 0.3913 0.2760
Y8 0.6943 0.3057 0.6090
Y9 0.7333 0.2667 0.9869
Y10 0.9872 0.0128 0.3093

(2)
A geometry-optimized CdSBrN2 structure, computed with GGA-PBE.

Properties
Volume: 21.31 Å³ per atom
Uncorrected energy: -2.86 eV per atom
Space-group type: P4/mmm (123)
Size of the total moment: 0.858 μB per atom
Formation energy without anion corrections: 1.82 eV/atom
D(E_F): 2.89 states/eV per cell

a = 4.2875 Å, b = 4.2875 Å, c = 5.7965 Å
α = 90.00°, β = 90.00°, γ = 90.00°
Fractional positions:
Cd1 0.0000 0.0000 0.0000
S1 0.0000 0.0000 0.5000
Br1 0.5000 0.5000 0.5000
N1 0.0000 0.5000 0.0000
N2 0.5000 0.0000 0.0000

(3)
A geometry-optimized LiErCd3 structure, computed with GGA-PBE.

Properties
Volume: 22.76 Å³ per atom
Uncorrected energy: -2.01 eV per atom
Space-group type: C2/m (12)
Size of the total moment: 0.000 μB per atom
D(E_F): 6.05 states/eV per cell
E_form: -0.167 eV per atom

a = 13.9073 Å, b = 13.9073 Å, c = 4.9585 Å
α = 94.35°, β = 94.35°, γ = 13.77°
Fractional positions:
Li1 0.1304 0.1304 0.3018
Li2 0.8696 0.8696 0.6982
Er1 0.4261 0.4261 0.2197
Er2 0.5739 0.5739 0.7803
Cd1 0.0303 0.0303 0.2624
Cd2 0.1766 0.1766 0.8186
Cd3 0.2846 0.2846 0.6864
Cd4 0.7154 0.7154 0.3136
Cd5 0.8234 0.8234 0.1814
Cd6 0.9697 0.9697 0.7376

(4)
A geometry-optimized Pu2NiAs structure, computed with GGA-PBE.

Properties
Volume: 15.56 Å³ per atom
Uncorrected energy: -9.81 eV per atom
Space-group type: P4/mmm (123)
Size of the total moment: 0.420 μB per atom
D(E_F): 7.64 states/eV per cell
E_form: -0.036 eV per atom

a = 3.5403 Å, b = 3.5403 Å, c = 4.9645 Å
α = 90.00°, β = 90.00°, γ = 90.00°
Fractional positions:
Pu1 0.0000 0.5000 0.0000
Pu2 0.5000 0.0000 0.0000
Ni1 0.0000 0.0000 0.5000
As1 0.5000 0.5000 0.5000

(5)
A geometry-optimized Sm2Ho5Tl structure, computed with GGA-PBE.

Properties
Volume: 31.30 Å³ per atom
Uncorrected energy: -4.32 eV per atom
Space-group type: Immm (71)
Size of the total moment: 0.000 μB per atom
D(E_F): 10.95 states/eV per cell
E_form: 0.012 eV per atom

a = 11.2055 Å, b = 11.2055 Å, c = 11.2055 Å
α = 161.81°, β = 145.20°, γ = 39.54°
Fractional positions:
Sm1 0.2392 0.2392 0.0000
Sm2 0.7608 0.7608 0.0000
Ho1 0.0000 0.0000 0.0000
Ho2 0.1367 0.3865 0.7502
Ho3 0.3638 0.6135 0.7502
Ho4 0.6362 0.3865 0.2498
Ho5 0.8633 0.6135 0.2498
Tl1 0.5000 0.0000 0.5000

(6)
A geometry-optimized Ca3TaTl structure, computed with GGA-PBE.

Properties
Volume: 39.42 Å³ per atom
Uncorrected energy: -3.03 eV per atom
Space-group type: Pm-3m (221)
Size of the total moment: 0.798 μB per atom
D(E_F): 2.55 states/eV per cell
E_form: 1.010 eV per atom

a = 5.8198 Å, b = 5.8198 Å, c = 5.8198 Å
α = 90.00°, β = 90.00°, γ = 90.00°
Fractional positions:
Ca1 0.0000 0.0000 0.5000
Ca2 0.0000 0.5000 0.0000
Ca3 0.5000 0.0000 0.0000
Ta1 0.5000 0.5000 0.5000
Tl1 0.0000 0.0000 0.0000